# 1
Computed, not measured: a relaxed AcTb2Ta crystal at the PBE-GGA level of DFT.

Structure (POSCAR):
```
AcTb2Ta
1.0
-2.8217 -1.7911 -0.6648
-0.4085 -3.1004 1.3538
-6.4634 3.2827 9.8561
Ac Tb Ta
1 2 1
direct
0.5000 0.5000 0.5000
0.0800 0.0800 0.7600
0.9200 0.9200 0.2400
0.0000 0.0000 0.0000
```

Properties
Energy in eV/atom: -5.53
Space group: R-3m, No. 166
E_form in meV/atom: 771

***

# 2
Computed, not measured: a relaxed K4Bi crystal at the PBE-GGA level of DFT.

Structure (POSCAR):
```
K4Bi
1.0
-4.5490 1.0409 8.9271
-10.0525 0.3884 0.5155
-5.1415 -7.7034 3.9615
K Bi
8 2
direct
0.8844 0.8844 0.8844
0.3468 0.8844 0.8844
0.8844 0.8844 0.3468
0.9032 0.3656 0.3656
0.3656 0.3656 0.3656
0.8844 0.3468 0.8844
0.3656 0.3656 0.9032
0.3656 0.9032 0.3656
0.5000 0.5000 0.5000
0.7500 0.7500 0.7500
```

Properties
Energy in eV/atom: -1.62
Space group: Fd-3m, No. 227
Polymorph energy (0 for the lowest one) in meV/atom: 254
E_form in meV/atom: 32

***

# 3
Computed, not measured: a relaxed CdPtPb2O6 crystal at the PBE-GGA level of DFT.

Structure (POSCAR):
```
CdPtPb2O6
1.0
-2.8687 -4.8449 0.6080
0.3311 -0.9434 -5.9558
7.0143 -4.1812 1.0523
Cd Pt Pb O
2 2 4 12
direct
0.5000 0.0000 0.0000
0.0000 0.5000 0.5000
0.5000 0.0000 0.5000
0.0000 0.5000 0.0000
0.0113 0.9550 0.2673
0.5113 0.5450 0.7673
0.9887 0.0450 0.7327
0.4887 0.4550 0.2327
0.3023 0.6694 0.0313
0.8023 0.8306 0.5313
0.6977 0.3306 0.9687
0.1977 0.1694 0.4687
0.3194 0.7345 0.4154
0.8194 0.7655 0.9154
0.6806 0.2655 0.5846
0.1806 0.2345 0.0846
0.8858 0.5765 0.2265
0.3858 0.9235 0.7265
0.1142 0.4235 0.7735
0.6142 0.0765 0.2735
```

Properties
Energy in eV/atom: -5.26
Space group: P2_1/c, No. 14
Raw formation energy in eV/atom: -0.844

***

- Among the records above, which one has the lowest energy?
  AcTb2Ta